The following is a DFT calculation (PBE-GGA) of crystalline ScTaOs2 at its relaxed geometry.

```
data_ScTaOs2
_space_group_name_H-M_alt 'R -3 m'
_space_group_IT_number 166
_space_group_name_Hall '-R 3 2"'
_cell_length_a 3.0222
_cell_length_b 3.0222
_cell_length_c 25.5992
_cell_angle_alpha 90.00
_cell_angle_beta 90.00
_cell_angle_gamma 120.00
loop_
_atom_site_label
_atom_site_type_symbol
_atom_site_fract_x
_atom_site_fract_y
_atom_site_fract_z
Sc1 Sc 0.0000 0.0000 0.0000
Ta1 Ta 0.0000 0.0000 0.5000
Os1 Os 0.0000 0.0000 0.2469
```

***

The following is a DFT calculation (PBE-GGA) of crystalline Sc2TaOs at its relaxed geometry.

```
data_Sc2TaOs
_space_group_name_H-M_alt 'I m m 2'
_space_group_IT_number 44
_space_group_name_Hall 'I 2 -2'
_cell_length_a 3.2714
_cell_length_b 4.7913
_cell_length_c 9.7719
_cell_angle_alpha 90.00
_cell_angle_beta 90.00
_cell_angle_gamma 90.00
loop_
_atom_site_label
_atom_site_type_symbol
_atom_site_fract_x
_atom_site_fract_y
_atom_site_fract_z
Sc1 Sc 0.0000 0.0000 0.0000
Sc2 Sc 0.0000 0.5000 0.2160
Ta1 Ta 0.0000 0.5000 0.7834
Os1 Os 0.0000 0.0000 0.4859
```

***

The following is a DFT calculation (PBE-GGA) of crystalline Sc2TaOs at its relaxed geometry.

```
data_Sc2TaOs
_space_group_name_H-M_alt 'P 4/m m m'
_space_group_IT_number 123
_space_group_name_Hall '-P 4 2'
_cell_length_a 3.1627
_cell_length_b 3.1627
_cell_length_c 7.4441
_cell_angle_alpha 90.00
_cell_angle_beta 90.00
_cell_angle_gamma 90.00
loop_
_atom_site_label
_atom_site_type_symbol
_atom_site_fract_x
_atom_site_fract_y
_atom_site_fract_z
Sc1 Sc 0.0000 0.0000 0.2148
Ta1 Ta 0.5000 0.5000 0.5000
Os1 Os 0.5000 0.5000 0.0000
```

***

The following is a DFT calculation (PBE-GGA) of crystalline ScTaOs2 at its relaxed geometry.

```
data_ScTaOs2
_space_group_name_H-M_alt 'I -4 2 d'
_space_group_IT_number 122
_space_group_name_Hall 'I -4 2bw'
_cell_length_a 7.1533
_cell_length_b 7.1533
_cell_length_c 5.6133
_cell_angle_alpha 90.00
_cell_angle_beta 90.00
_cell_angle_gamma 90.00
loop_
_atom_site_label
_atom_site_type_symbol
_atom_site_fract_x
_atom_site_fract_y
_atom_site_fract_z
Sc1 Sc 0.0000 0.0000 0.0000
Ta1 Ta 0.0000 0.0000 0.5000
Os1 Os 0.2325 0.2500 0.6250
```

***

The following is a DFT calculation (PBE-GGA) of crystalline Sc3TaOs at its relaxed geometry.

```
data_Sc3TaOs
_space_group_name_H-M_alt 'P m -3 m'
_space_group_IT_number 221
_space_group_name_Hall '-P 4 2 3'
_cell_length_a 4.8946
_cell_length_b 4.8946
_cell_length_c 4.8946
_cell_angle_alpha 90.00
_cell_angle_beta 90.00
_cell_angle_gamma 90.00
loop_
_atom_site_label
_atom_site_type_symbol
_atom_site_fract_x
_atom_site_fract_y
_atom_site_fract_z
Sc1 Sc 0.0000 0.0000 0.5000
Ta1 Ta 0.0000 0.0000 0.0000
Os1 Os 0.5000 0.5000 0.5000
```

***

The following is a DFT calculation (PBE-GGA) of crystalline Sc2TaOs at its relaxed geometry.

```
data_Sc2TaOs
_space_group_name_H-M_alt 'P m m m'
_space_group_IT_number 47
_space_group_name_Hall '-P 2 2'
_cell_length_a 3.2779
_cell_length_b 4.6382
_cell_length_c 4.7510
_cell_angle_alpha 90.00
_cell_angle_beta 90.00
_cell_angle_gamma 90.00
loop_
_atom_site_label
_atom_site_type_symbol
_atom_site_fract_x
_atom_site_fract_y
_atom_site_fract_z
Sc1 Sc 0.0000 0.0000 0.0000
Sc2 Sc 0.5000 0.5000 0.0000
Ta1 Ta 0.0000 0.5000 0.5000
Os1 Os 0.5000 0.0000 0.5000
```

***

The following is a DFT calculation (PBE-GGA) of crystalline Sc2TaOs at its relaxed geometry.

```
data_Sc2TaOs
_space_group_name_H-M_alt 'P 4 m m'
_space_group_IT_number 99
_space_group_name_Hall 'P 4 -2'
_cell_length_a 3.1885
_cell_length_b 3.1885
_cell_length_c 7.7249
_cell_angle_alpha 90.00
_cell_angle_beta 90.00
_cell_angle_gamma 90.00
loop_
_atom_site_label
_atom_site_type_symbol
_atom_site_fract_x
_atom_site_fract_y
_atom_site_fract_z
Sc1 Sc 0.0000 0.0000 0.0000
Sc2 Sc 0.5000 0.5000 0.3358
Ta1 Ta 0.0000 0.0000 0.5884
Os1 Os 0.5000 0.5000 0.7884
```

***

The following is a DFT calculation (PBE-GGA) of crystalline ScTaOs2 at its relaxed geometry.

```
data_ScTaOs2
_space_group_name_H-M_alt 'P m m 2'
_space_group_IT_number 25
_space_group_name_Hall 'P 2 -2'
_cell_length_a 2.9144
_cell_length_b 4.3498
_cell_length_c 5.3252
_cell_angle_alpha 90.00
_cell_angle_beta 90.00
_cell_angle_gamma 90.00
loop_
_atom_site_label
_atom_site_type_symbol
_atom_site_fract_x
_atom_site_fract_y
_atom_site_fract_z
Sc1 Sc 0.0000 0.0000 0.0000
Ta1 Ta 0.5000 0.5000 0.3188
Os1 Os 0.0000 0.0000 0.5011
Os2 Os 0.5000 0.5000 0.8282
```

***

Number 1: energy of formation from the pure elements 7 meV per atom, total energy -10.15 eV/atom, energy relative to the lowest polymorph listed for this composition 538 meV per atom. Number 2: energy of formation from the pure elements -227 meV per atom, total energy -9.16 eV/atom, energy relative to the lowest polymorph listed for this composition 0 meV per atom. Number 3: energy of formation from the pure elements -62 meV per atom, total energy -9.00 eV/atom, energy relative to the lowest polymorph listed for this composition 165 meV per atom. Number 4: energy of formation from the pure elements 356 meV per atom, total energy -9.80 eV/atom, energy relative to the lowest polymorph listed for this composition 888 meV per atom. Number 5: energy of formation from the pure elements 1405 meV per atom, total energy -7.01 eV/atom, energy relative to the lowest polymorph listed for this composition 803 meV per atom. Number 6: energy of formation from the pure elements -69 meV per atom, total energy -9.01 eV/atom, energy relative to the lowest polymorph listed for this composition 158 meV per atom. Number 7: energy of formation from the pure elements -215 meV per atom, total energy -9.15 eV/atom, energy relative to the lowest polymorph listed for this composition 12 meV per atom. Number 8: energy of formation from the pure elements -44 meV per atom, total energy -10.21 eV/atom, energy relative to the lowest polymorph listed for this composition 487 meV per atom.